1.
An optimized crystal structure of Sm3Dy2Cd4, computed with PBE.

The space-group type is Cmce (64). Its formation energy from the elements is -124 meV/atom.

Unit cell a=10.222 b=10.222 c=8.121 alpha=90.00 beta=90.00 gamma=141.88
Element x y z (fractional)
Sm1 0.000 0.000 0.000
Sm2 0.004 0.496 0.250
Sm3 0.496 0.004 0.750
Sm4 0.500 0.500 0.500
Sm5 0.504 0.996 0.250
Sm6 0.996 0.504 0.750
Dy1 0.090 0.910 0.400
Dy2 0.410 0.590 0.900
Dy3 0.590 0.410 0.100
Dy4 0.910 0.090 0.600
Cd1 0.157 0.843 0.021
Cd2 0.172 0.328 0.250
Cd3 0.328 0.172 0.750
Cd4 0.343 0.657 0.521
Cd5 0.657 0.343 0.479
Cd6 0.672 0.828 0.250
Cd7 0.828 0.672 0.750
Cd8 0.843 0.157 0.979

2.
An optimized crystal structure of Ga3ReN, computed with PBE.

Its energy relative to the elements, uncorrected is 1222 meV/atom. The space-group type is Pm-3m (221).

Unit cell a=4.874 b=4.874 c=4.874 alpha=90.00 beta=90.00 gamma=90.00
Element x y z (fractional)
Ga1 0.000 0.000 0.500
Ga2 0.000 0.500 0.000
Ga3 0.500 0.000 0.000
Re1 0.000 0.000 0.000
N1 0.500 0.500 0.500

3.
An optimized crystal structure of Ca2CoP, computed with PBE.

The space-group type is P4/mmm (123). Its formation energy from the elements is -226 meV/atom.

Unit cell a=4.648 b=4.648 c=3.835 alpha=90.00 beta=90.00 gamma=90.00
Element x y z (fractional)
Ca1 0.000 0.500 0.000
Ca2 0.500 0.000 0.000
Co1 0.000 0.000 0.500
P1 0.500 0.500 0.500

4.
An optimized crystal structure of YMn2, computed with PBE.

The space-group type is P6_3/mmc (194). Its formation energy from the elements is 159 meV/atom.

Unit cell a=5.093 b=5.093 c=8.389 alpha=90.00 beta=90.00 gamma=120.00
Element x y z (fractional)
Y1 0.333 0.667 0.063
Y2 0.333 0.667 0.437
Y3 0.667 0.333 0.563
Y4 0.667 0.333 0.937
Mn1 0.000 0.000 0.000
Mn2 0.000 0.000 0.500
Mn3 0.168 0.335 0.750
Mn4 0.168 0.832 0.750
Mn5 0.335 0.168 0.250
Mn6 0.665 0.832 0.750
Mn7 0.832 0.168 0.250
Mn8 0.832 0.665 0.250

5.
An optimized crystal structure of LiNdIr, computed with PBE.

The space-group type is I4mm (107). Its formation energy from the elements is -213 meV/atom.

Unit cell a=3.635 b=3.635 c=9.147 alpha=90.00 beta=90.00 gamma=90.00
Element x y z (fractional)
Li1 0.000 0.000 0.000
Li2 0.500 0.500 0.500
Nd1 0.000 0.000 0.703
Nd2 0.500 0.500 0.203
Ir1 0.000 0.000 0.367
Ir2 0.500 0.500 0.867

6.
An optimized crystal structure of TaSbSe4, computed with PBE.

Its energy relative to the elements, uncorrected is -515 meV/atom. The space-group type is P-1 (2).

Unit cell a=3.754 b=6.851 c=7.611 alpha=65.29 beta=75.81 gamma=90.00
Element x y z (fractional)
Ta1 0.000 0.000 0.000
Sb1 0.500 0.500 0.000
Se1 0.117 0.810 0.765
Se2 0.387 0.739 0.228
Se3 0.613 0.261 0.772
Se4 0.883 0.190 0.235

7.
An optimized crystal structure of SrAsOs2, computed with PBE.

The space-group type is R3m (160). Its formation energy from the elements is -11 meV/atom.

Unit cell a=4.289 b=4.289 c=16.648 alpha=90.00 beta=90.00 gamma=120.00
Element x y z (fractional)
Sr1 0.000 0.000 0.000
Sr2 0.333 0.667 0.667
Sr3 0.667 0.333 0.333
As1 0.000 0.000 0.208
As2 0.333 0.667 0.874
As3 0.667 0.333 0.541
Os1 0.000 0.000 0.480
Os2 0.000 0.000 0.803
Os3 0.333 0.667 0.147
Os4 0.333 0.667 0.470
Os5 0.667 0.333 0.136
Os6 0.667 0.333 0.814

8.
An optimized crystal structure of Y2AgPb, computed with PBE.

The space-group type is I-42d (122). Its formation energy from the elements is 159 meV/atom.

Unit cell a=4.756 b=4.756 c=21.179 alpha=90.00 beta=90.00 gamma=90.00
Element x y z (fractional)
Y1 0.246 0.250 0.125
Y2 0.250 0.746 0.375
Y3 0.250 0.754 0.875
Y4 0.254 0.250 0.625
Y5 0.746 0.750 0.625
Y6 0.750 0.246 0.875
Y7 0.750 0.254 0.375
Y8 0.754 0.750 0.125
Ag1 0.000 0.000 0.500
Ag2 0.000 0.500 0.750
Ag3 0.500 0.000 0.250
Ag4 0.500 0.500 0.000
Pb1 0.000 0.000 0.000
Pb2 0.000 0.500 0.250
Pb3 0.500 0.000 0.750
Pb4 0.500 0.500 0.500

9.
An optimized crystal structure of CaZnBiN2, computed with PBE.

Its energy relative to the elements, uncorrected is 1413 meV/atom. The space-group type is P4/mmm (123).

Unit cell a=4.442 b=4.442 c=6.136 alpha=90.00 beta=90.00 gamma=90.00
Element x y z (fractional)
Ca1 0.000 0.000 0.000
Zn1 0.500 0.500 0.000
Bi1 0.000 0.000 0.500
N1 0.000 0.500 0.500
N2 0.500 0.000 0.500

10.
An optimized crystal structure of NdSmNi2P2, computed with PBE.

The space-group type is P-3m1 (164). Its formation energy from the elements is -1174 meV/atom.

Unit cell a=3.947 b=3.947 c=8.058 alpha=90.00 beta=90.00 gamma=120.00
Element x y z (fractional)
Nd1 0.000 0.000 0.000
Sm1 0.000 0.000 0.500
Ni1 0.333 0.667 0.748
Ni2 0.667 0.333 0.252
P1 0.333 0.667 0.254
P2 0.667 0.333 0.746

11.
An optimized crystal structure of BeP2Pt, computed with PBE.

The space-group type is C2/m (12). Its formation energy from the elements is -220 meV/atom.

Unit cell a=11.304 b=3.258 c=3.275 alpha=90.00 beta=105.65 gamma=90.00
Element x y z (fractional)
Be1 0.000 0.000 0.000
Be2 0.500 0.500 0.000
P1 0.217 0.500 0.700
P2 0.283 0.000 0.300
P3 0.717 0.000 0.700
P4 0.783 0.500 0.300
Pt1 0.000 0.500 0.500
Pt2 0.500 0.000 0.500

12.
An optimized crystal structure of Ce6Co2Ru, computed with PBE.

The space-group type is C2/m (12). Its formation energy from the elements is -167 meV/atom.

Unit cell a=7.674 b=7.674 c=8.616 alpha=117.40 beta=117.40 gamma=78.13
Element x y z (fractional)
Ce1 0.059 0.439 0.705
Ce2 0.172 0.822 0.794
Ce3 0.178 0.828 0.206
Ce4 0.336 0.336 0.114
Ce5 0.353 0.353 0.530
Ce6 0.439 0.059 0.705
Ce7 0.561 0.941 0.295
Ce8 0.647 0.647 0.470
Ce9 0.664 0.664 0.886
Ce10 0.822 0.172 0.794
Ce11 0.828 0.178 0.206
Ce12 0.941 0.561 0.295
Co1 0.146 0.146 0.124
Co2 0.298 0.702 0.500
Co3 0.702 0.298 0.500
Co4 0.854 0.854 0.876
Ru1 0.000 0.000 0.500
Ru2 0.500 0.500 0.000

13.
An optimized crystal structure of Li2CuSi4Pt3, computed with PBE.

Its energy relative to the elements, uncorrected is -523 meV/atom. The space-group type is P-4m2 (115).

Unit cell a=3.954 b=3.954 c=10.356 alpha=90.00 beta=90.00 gamma=90.00
Element x y z (fractional)
Li1 0.000 0.500 0.230
Li2 0.500 0.000 0.770
Cu1 0.500 0.500 0.000
Si1 0.000 0.000 0.500
Si2 0.000 0.500 0.866
Si3 0.500 0.000 0.134
Si4 0.500 0.500 0.500
Pt1 0.000 0.000 0.000
Pt2 0.000 0.500 0.636
Pt3 0.500 0.000 0.364

14.
An optimized crystal structure of Li3LaGa8, computed with PBE.

The space-group type is Pmmm (47). Its formation energy from the elements is -297 meV/atom.

Unit cell a=3.235 b=4.391 c=16.072 alpha=90.00 beta=90.00 gamma=90.00
Element x y z (fractional)
Li1 0.000 0.000 0.000
Li2 0.000 0.500 0.234
Li3 0.000 0.500 0.766
La1 0.000 0.000 0.500
Ga1 0.500 0.000 0.157
Ga2 0.500 0.000 0.313
Ga3 0.500 0.000 0.687
Ga4 0.500 0.000 0.843
Ga5 0.500 0.500 0.078
Ga6 0.500 0.500 0.394
Ga7 0.500 0.500 0.606
Ga8 0.500 0.500 0.922

15.
An optimized crystal structure of CaTaMo2, computed with PBE.

The space-group type is Pmm2 (25). Its formation energy from the elements is 714 meV/atom.

Unit cell a=2.726 b=4.795 c=5.797 alpha=90.00 beta=90.00 gamma=90.00
Element x y z (fractional)
Ca1 0.000 0.000 0.000
Ta1 0.500 0.500 0.719
Mo1 0.000 0.000 0.494
Mo2 0.500 0.500 0.266

16.
An optimized crystal structure of La4TaSe2, computed with PBE.

Its energy relative to the elements, uncorrected is -360 meV/atom. The space-group type is I4/mmm (139).

Unit cell a=5.484 b=5.484 c=15.650 alpha=90.00 beta=90.00 gamma=90.00
Element x y z (fractional)
La1 0.000 0.000 0.188
La2 0.000 0.000 0.812
La3 0.000 0.500 0.000
La4 0.000 0.500 0.500
La5 0.500 0.000 0.000
La6 0.500 0.000 0.500
La7 0.500 0.500 0.312
La8 0.500 0.500 0.688
Ta1 0.000 0.000 0.000
Ta2 0.500 0.500 0.500
Se1 0.000 0.000 0.375
Se2 0.000 0.000 0.625
Se3 0.500 0.500 0.125
Se4 0.500 0.500 0.875

17.
An optimized crystal structure of Tb2NpS3, computed with PBE.

Its energy relative to the elements, uncorrected is -1814 meV/atom. The space-group type is I4/mmm (139).

Unit cell a=3.915 b=3.915 c=16.704 alpha=90.00 beta=90.00 gamma=90.00
Element x y z (fractional)
Tb1 0.000 0.000 0.165
Tb2 0.000 0.000 0.835
Tb3 0.500 0.500 0.335
Tb4 0.500 0.500 0.665
Np1 0.000 0.000 0.500
Np2 0.500 0.500 0.000
S1 0.000 0.000 0.000
S2 0.000 0.000 0.332
S3 0.000 0.000 0.668
S4 0.500 0.500 0.168
S5 0.500 0.500 0.500
S6 0.500 0.500 0.832

18.
An optimized crystal structure of Rb2ErSnTe4, computed with PBE.

Its energy relative to the elements, uncorrected is -945 meV/atom. The space-group type is P2/m (10).

Unit cell a=7.914 b=4.474 c=8.941 alpha=90.00 beta=106.53 gamma=90.00
Element x y z (fractional)
Rb1 0.000 0.000 0.000
Rb2 0.500 0.500 0.000
Er1 0.000 0.500 0.500
Sn1 0.500 0.000 0.500
Te1 0.229 0.000 0.696
Te2 0.263 0.500 0.304
Te3 0.737 0.500 0.696
Te4 0.771 0.000 0.304

19.
An optimized crystal structure of Li3GeB, computed with PBE.

The space-group type is Pm-3m (221). Its formation energy from the elements is 475 meV/atom.

Unit cell a=4.218 b=4.218 c=4.218 alpha=90.00 beta=90.00 gamma=90.00
Element x y z (fractional)
Li1 0.000 0.000 0.500
Li2 0.000 0.500 0.000
Li3 0.500 0.000 0.000
Ge1 0.500 0.500 0.500
B1 0.000 0.000 0.000

20.
An optimized crystal structure of MgTlCu2, computed with PBE.

The space-group type is I-42d (122). Its formation energy from the elements is 329 meV/atom.

Unit cell a=7.443 b=7.443 c=5.541 alpha=90.00 beta=90.00 gamma=90.00
Element x y z (fractional)
Mg1 0.000 0.000 0.000
Mg2 0.000 0.500 0.250
Mg3 0.500 0.000 0.750
Mg4 0.500 0.500 0.500
Tl1 0.000 0.000 0.500
Tl2 0.000 0.500 0.750
Tl3 0.500 0.000 0.250
Tl4 0.500 0.500 0.000
Cu1 0.247 0.250 0.125
Cu2 0.250 0.747 0.375
Cu3 0.250 0.753 0.875
Cu4 0.253 0.250 0.625
Cu5 0.747 0.750 0.625
Cu6 0.750 0.247 0.875
Cu7 0.750 0.253 0.375
Cu8 0.753 0.750 0.125

21.
An optimized crystal structure of RbLi2Ga2, computed with PBE.

The space-group type is P4/mbm (127). Its formation energy from the elements is -43 meV/atom.

Unit cell a=8.504 b=8.504 c=3.171 alpha=90.00 beta=90.00 gamma=90.00
Element x y z (fractional)
Rb1 0.000 0.000 0.000
Rb2 0.500 0.500 0.000
Li1 0.168 0.332 0.000
Li2 0.332 0.832 0.000
Li3 0.668 0.168 0.000
Li4 0.832 0.668 0.000
Ga1 0.109 0.609 0.500
Ga2 0.391 0.109 0.500
Ga3 0.609 0.891 0.500
Ga4 0.891 0.391 0.500

22.
An optimized crystal structure of ZnAgW2, computed with PBE.

The space-group type is R-3m (166). Its formation energy from the elements is 522 meV/atom.

Unit cell a=2.798 b=2.798 c=28.502 alpha=90.00 beta=90.00 gamma=120.00
Element x y z (fractional)
Zn1 0.000 0.000 0.000
Zn2 0.333 0.667 0.667
Zn3 0.667 0.333 0.333
Ag1 0.000 0.000 0.500
Ag2 0.333 0.667 0.167
Ag3 0.667 0.333 0.833
W1 0.000 0.000 0.253
W2 0.000 0.000 0.747
W3 0.333 0.667 0.413
W4 0.333 0.667 0.920
W5 0.667 0.333 0.080
W6 0.667 0.333 0.587

23.
An optimized crystal structure of LiTlF2, computed with PBE.

Its energy relative to the elements, uncorrected is -1963 meV/atom. The space-group type is P4/mmm (123).

Unit cell a=3.038 b=3.038 c=6.364 alpha=90.00 beta=90.00 gamma=90.00
Element x y z (fractional)
Li1 0.000 0.000 0.000
Tl1 0.000 0.000 0.500
F1 0.500 0.500 0.202
F2 0.500 0.500 0.798

24.
An optimized crystal structure of ScZnHgRu, computed with PBE.

The space-group type is F-43m (216). Its formation energy from the elements is -64 meV/atom.

Unit cell a=6.530 b=6.530 c=6.530 alpha=90.00 beta=90.00 gamma=90.00
Element x y z (fractional)
Sc1 0.000 0.000 0.000
Sc2 0.000 0.500 0.500
Sc3 0.500 0.000 0.500
Sc4 0.500 0.500 0.000
Zn1 0.250 0.250 0.250
Zn2 0.250 0.750 0.750
Zn3 0.750 0.250 0.750
Zn4 0.750 0.750 0.250
Hg1 0.250 0.250 0.750
Hg2 0.250 0.750 0.250
Hg3 0.750 0.250 0.250
Hg4 0.750 0.750 0.750
Ru1 0.000 0.000 0.500
Ru2 0.000 0.500 0.000
Ru3 0.500 0.000 0.000
Ru4 0.500 0.500 0.500

25.
An optimized crystal structure of MgCd2Ga2, computed with PBE.

The space-group type is I4/mmm (139). Its formation energy from the elements is -6 meV/atom.

Unit cell a=3.719 b=3.719 c=15.227 alpha=90.00 beta=90.00 gamma=90.00
Element x y z (fractional)
Mg1 0.000 0.000 0.000
Mg2 0.500 0.500 0.500
Cd1 0.000 0.000 0.197
Cd2 0.000 0.000 0.803
Cd3 0.500 0.500 0.303
Cd4 0.500 0.500 0.697
Ga1 0.000 0.000 0.402
Ga2 0.000 0.000 0.598
Ga3 0.500 0.500 0.098
Ga4 0.500 0.500 0.902

26.
An optimized crystal structure of HoSc3, computed with PBE.

The space-group type is Pm-3m (221). Its formation energy from the elements is 55 meV/atom.

Unit cell a=4.704 b=4.704 c=4.704 alpha=90.00 beta=90.00 gamma=90.00
Element x y z (fractional)
Ho1 0.000 0.000 0.000
Sc1 0.000 0.500 0.500
Sc2 0.500 0.000 0.500
Sc3 0.500 0.500 0.000

Magnetic moment
In order: 0.003, 3.007, 1.479, 0.004, 0.000, 0.000, 0.000, 0.000, 0.000, 0.000, 0.000, 0.000, 0.000, 0.136, 0.000, 0.000, 8.969, 0.000, 0.338, 0.000, 0.000, 0.000, 0.000, 0.017, 0.000, 0.001
Unit: μB/cell